# V5Ge4W2

A relaxed V5Ge4W2 crystal (PBE-GGA, the Alexandria database).

The value obtained for the density of states at the Fermi level is 11.0 states/eV/f.u. The total magnetization is 4.1 μB per cell. The calculation puts the total energy at -7.9852 eV/atom.

The space group is Immm (No. 71) and the conventional cell measures 3.115, 8.103 and 14.452 Å, with angles of 90.00, 90.00 and 90.00 degrees. Symmetry generates all atoms from V at (0.000, 0.000, 0.000), V at (0.000, 0.190, 0.314), Ge at (0.000, 0.227, 0.500), Ge at (0.000, 0.500, 0.288) and W at (0.000, 0.500, 0.092).

=====

# K3LaNd2O6

A relaxed K3LaNd2O6 crystal (PBE-GGA, the Alexandria database).

The value obtained for the density of states at the Fermi level is 0.0 states/eV/f.u. For the energy relative to the elements, uncorrected, the calculation gives -2626 meV/atom. The total magnetization is 0.0 μB per cell.

The space group is C2/m (No. 12) and the conventional cell measures 16.486, 3.672 and 7.598 Å, with angles of 90.00, 106.02 and 90.00 degrees. Symmetry generates all atoms from K at (0.000, 0.000, 0.000), K at (0.167, 0.500, 0.334), La at (0.000, 0.000, 0.500), Nd at (0.168, 0.500, 0.835), O at (0.015, 0.500, 0.720), O at (0.155, 0.000, 0.620) and O at (0.180, 0.000, 0.051).

=====

| no. | density (g cm⁻³) |
| --- | --- |
| 1 | 8.31 |
| 2 | 4.81 |